Entry 1:
DFT (PBE) results for a relaxed Nd2Sb4Ir3 crystal.

Results
The value obtained for the uncorrected energy is -6.540 eV per atom.

a = 16.261 Å, b = 4.571 Å, c = 11.071 Å
α = 90.00°, β = 90.00°, γ = 90.00°
Space group Pnma (No. 62)
Asymmetric unit:
Nd: 0.007 0.250 0.248 (multiplicity 4)
Nd: 0.248 0.750 0.590 (multiplicity 4)
Sb: 0.068 0.750 0.447 (multiplicity 4)
Sb: 0.106 0.750 0.062 (multiplicity 4)
Sb: 0.150 0.250 0.775 (multiplicity 4)
Sb: 0.212 0.250 0.387 (multiplicity 4)
Ir: 0.056 0.250 0.966 (multiplicity 4)
Ir: 0.093 0.250 0.557 (multiplicity 4)
Ir: 0.182 0.750 0.276 (multiplicity 4)

Entry 2:
DFT (PBE) results for a relaxed RbZrTc crystal.

Results
Its energy relative to the lowest polymorph listed for this composition is 0 meV/atom.

a = 6.763 Å, b = 6.763 Å, c = 6.763 Å
α = 90.00°, β = 90.00°, γ = 90.00°
Space group F-43m (No. 216)
Asymmetric unit:
Rb: 0.000 0.000 0.000 (multiplicity 4)
Zr: 0.000 0.000 0.500 (multiplicity 4)
Tc: 0.250 0.250 0.250 (multiplicity 4)

Entry 3:
DFT (PBE) results for a relaxed ZrPd crystal.

Results
The value obtained for the uncorrected energy is -7.240 eV per atom.

a = 3.0861 Å, b = 3.0861 Å, c = 4.5202 Å
α = 90.00°, β = 90.00°, γ = 120.00°
Space group P-6m2 (No. 187)
Asymmetric unit:
Zr: 0.0000 0.0000 0.0000 (multiplicity 1)
Pd: 0.3333 0.6667 0.5000 (multiplicity 1)

Entry 4:
DFT (PBE) results for a relaxed LuPbAu2 crystal.

Results
The value obtained for the uncorrected energy is -4.058 eV per atom.

a = 7.030 Å, b = 7.030 Å, c = 7.030 Å
α = 90.00°, β = 90.00°, γ = 90.00°
Space group F-43m (No. 216)
Asymmetric unit:
Lu: 0.000 0.000 0.000 (multiplicity 4)
Pb: 0.250 0.250 0.750 (multiplicity 4)
Au: 0.000 0.000 0.500 (multiplicity 4)
Au: 0.250 0.250 0.250 (multiplicity 4)

Entry 5:
DFT (PBE) results for a relaxed PrTa2 crystal.

Results
Its energy relative to the lowest polymorph listed for this composition is 4145 meV/atom.

a = 12.348 Å, b = 12.348 Å, c = 12.348 Å
α = 90.00°, β = 90.00°, γ = 90.00°
Space group Fd-3m (No. 227, origin choice 2)
Asymmetric unit:
Pr: 0.125 0.125 0.125 (multiplicity 8)
Ta: 0.000 0.000 0.000 (multiplicity 16)

Entry 6:
DFT (PBE) results for a relaxed ScGa2Cu2 crystal.

Results
The value obtained for the uncorrected energy is -4.275 eV per atom.

a = 3.932 Å, b = 3.932 Å, c = 10.317 Å
α = 90.00°, β = 90.00°, γ = 90.00°
Space group I4/mmm (No. 139)
Asymmetric unit:
Sc: 0.000 0.000 0.000 (multiplicity 2)
Ga: 0.000 0.000 0.384 (multiplicity 4)
Cu: 0.000 0.500 0.250 (multiplicity 4)

Entry 7:
DFT (PBE) results for a relaxed PmTcB crystal.

Results
Its energy relative to the lowest polymorph listed for this composition is 1376 meV/atom.

a = 6.232 Å, b = 6.232 Å, c = 6.232 Å
α = 90.00°, β = 90.00°, γ = 90.00°
Space group F-43m (No. 216)
Asymmetric unit:
Pm: 0.000 0.000 0.000 (multiplicity 4)
Tc: 0.250 0.250 0.250 (multiplicity 4)
B: 0.250 0.250 0.750 (multiplicity 4)

Entry 8:
DFT (PBE) results for a relaxed MgFe crystal.

Results
The value obtained for the uncorrected energy is -4.740 eV per atom.

a = 4.789 Å, b = 4.367 Å, c = 7.872 Å
α = 90.00°, β = 107.66°, γ = 90.00°
Space group Pm (No. 6)
Asymmetric unit:
Mg: 0.000 0.000 0.000 (multiplicity 1)
Mg: 0.051 0.500 0.260 (multiplicity 1)
Mg: 0.154 0.500 0.641 (multiplicity 1)
Mg: 0.431 0.500 0.021 (multiplicity 1)
Mg: 0.640 0.000 0.281 (multiplicity 1)
Fe: 0.281 0.000 0.482 (multiplicity 1)
Fe: 0.441 0.000 0.800 (multiplicity 1)
Fe: 0.583 0.500 0.484 (multiplicity 1)
Fe: 0.740 0.500 0.797 (multiplicity 1)
Fe: 0.812 0.000 0.640 (multiplicity 1)

| no. | volume (Å³ per atom) |
| --- | --- |
| 1 | 22.86 |
| 2 | 25.78 |
| 3 | 18.64 |
| 4 | 21.71 |
| 5 | 78.45 |
| 6 | 15.95 |
| 7 | 20.17 |
| 8 | 15.69 |